First-principles (GGA-PBE) data for an optimized crystal structure of NbRe3P, as listed in the Alexandria database.

It has space group Pm-3m (No. 221), with a = 4.365 Å, b = 4.365 Å, c = 4.365 Å, α = 90.00°, β = 90.00° and γ = 90.00°. The distinct sites, in fractional coordinates, are Nb at (0.000, 0.000, 0.000), Re at (0.000, 0.500, 0.500) and P at (0.500, 0.500, 0.500).

The calculation puts the energy above the lowest structure with this stoichiometry at 0.0 kJ per mole of atoms.

=====

First-principles (GGA-PBE) data for an optimized crystal structure of Nb2ReP2, as listed in the Alexandria database.

It has space group P4/mbm (No. 127), with a = 6.633 Å, b = 6.633 Å, c = 3.385 Å, α = 90.00°, β = 90.00° and γ = 90.00°. The distinct sites, in fractional coordinates, are Nb at (0.153, 0.347, 0.000), Re at (0.000, 0.000, 0.500) and P at (0.147, 0.647, 0.500).

The calculation puts the energy above the lowest structure with this stoichiometry at 0.0 kJ per mole of atoms.

=====

First-principles (GGA-PBE) data for an optimized crystal structure of NbRe2P, as listed in the Alexandria database.

It has space group I-42d (No. 122), with a = 3.832 Å, b = 3.832 Å, c = 18.105 Å, α = 90.00°, β = 90.00° and γ = 90.00°. The distinct sites, in fractional coordinates, are Nb at (0.000, 0.000, 0.000), Re at (0.199, 0.250, 0.625) and P at (0.000, 0.000, 0.500).

=====

First-principles (GGA-PBE) data for an optimized crystal structure of NbRe3P, as listed in the Alexandria database.

It has space group Pm-3m (No. 221), with a = 4.760 Å, b = 4.760 Å, c = 4.760 Å, α = 90.00°, β = 90.00° and γ = 90.00°. The distinct sites, in fractional coordinates, are Nb at (0.000, 0.000, 0.000), Re at (0.000, 0.000, 0.500) and P at (0.500, 0.500, 0.500).

The calculation puts the energy above the lowest structure with this stoichiometry at 204.7 kJ per mole of atoms.

=====

Which formation energy belongs to each record? In order, 2.79 -2.43 1.33 13.40 eV per formula unit.